The following is a PBE calculation of Dy6Bi5Pb after structural relaxation, from the Alexandria database.

Cell and atoms, written as CIF:
```
data_Dy6Bi5Pb
_cell_length_a 7.737
_cell_length_b 7.737
_cell_length_c 7.764
_cell_angle_alpha 99.57
_cell_angle_beta 99.57
_cell_angle_gamma 120.04
_space_group_name_H-M_alt 'P 1'
_space_group_IT_number 1
loop_
_space_group_symop_operation_xyz
'x,y,z'
loop_
_atom_site_label
_atom_site_type_symbol
_atom_site_fract_x
_atom_site_fract_y
_atom_site_fract_z
Dy1 Dy 0.082 0.414 0.748
Dy2 Dy 0.248 0.248 0.250
Dy3 Dy 0.414 0.082 0.748
Dy4 Dy 0.586 0.918 0.252
Dy5 Dy 0.752 0.752 0.750
Dy6 Dy 0.918 0.586 0.252
Bi1 Bi 0.168 0.832 0.000
Bi2 Bi 0.334 0.666 0.500
Bi3 Bi 0.500 0.500 0.000
Bi4 Bi 0.666 0.334 0.500
Bi5 Bi 0.832 0.168 0.000
Pb1 Pb 0.000 0.000 0.500
```

Summary:
DOS(E_F): 4.1 states/eV/f.u.
Space-group type: C2/m, No. 12
Calculated formation energy: -0.771 eV/atom
E: -5.00 eV per atom